1.
Material: AcNd5Se6
Method: DFT, PBE
State: relaxed

Properties
- ρ (g/cm3) = 7.14
- space group = C2/m
- energy relative to the elements, uncorrected (eV per atom) = -1.84
- uncorrected energy (eV/cell) = -70.91

The structure in CIF format:
```
data_AcNd5Se6
_chemical_formula_sum 'Ac1 Nd5 Se6'
_cell_length_a 7.4118
_cell_length_b 7.4118
_cell_length_c 7.3939
_cell_angle_alpha 99.68
_cell_angle_beta 99.68
_cell_angle_gamma 120.18
_space_group_name_H-M_alt 'P 1'
_space_group_IT_number 1
loop_
_space_group_symop_operation_xyz
'x,y,z'
loop_
_atom_site_label
_atom_site_fract_x
_atom_site_fract_y
_atom_site_fract_z
Ac1 0.0000 0.0000 0.0000
Nd1 0.1638 0.8362 0.5000
Nd2 0.3321 0.6679 0.0000
Nd3 0.5000 0.5000 0.5000
Nd4 0.6679 0.3321 0.0000
Nd5 0.8362 0.1638 0.5000
Se1 0.0859 0.4265 0.2563
Se2 0.2575 0.2575 0.7482
Se3 0.4265 0.0859 0.2563
Se4 0.5735 0.9141 0.7437
Se5 0.7425 0.7425 0.2518
Se6 0.9141 0.5735 0.7437
```

=====

2.
Material: AcGdSi
Method: DFT, PBE
State: relaxed

Properties
- ρ (g/cm3) = 7.37
- space group = P3m1
- energy relative to the elements, uncorrected (eV per atom) = -0.29
- uncorrected energy (eV/cell) = -24.49

The structure in CIF format:
```
data_AcGdSi
_chemical_formula_sum 'Ac1 Gd1 Si1'
_cell_length_a 4.8439
_cell_length_b 4.8439
_cell_length_c 4.5702
_cell_angle_alpha 90.00
_cell_angle_beta 90.00
_cell_angle_gamma 120.00
_space_group_name_H-M_alt 'P 1'
_space_group_IT_number 1
loop_
_space_group_symop_operation_xyz
'x,y,z'
loop_
_atom_site_label
_atom_site_fract_x
_atom_site_fract_y
_atom_site_fract_z
Ac1 0.0000 0.0000 0.0000
Gd1 0.6667 0.3333 0.4846
Si1 0.3333 0.6667 0.5714
```

=====

3.
Material: SnPClO2
Method: DFT, PBE
State: relaxed

Properties
- ρ (g/cm3) = 2.80
- space group = Pnma
- energy relative to the elements, uncorrected (eV per atom) = -1.32
- uncorrected energy (eV/cell) = -111.02

The structure in CIF format:
```
data_SnPClO2
_chemical_formula_sum 'Sn4 P4 Cl4 O8'
_cell_length_a 8.8035
_cell_length_b 5.5323
_cell_length_c 10.5880
_cell_angle_alpha 90.00
_cell_angle_beta 90.00
_cell_angle_gamma 90.00
_space_group_name_H-M_alt 'P 1'
_space_group_IT_number 1
loop_
_space_group_symop_operation_xyz
'x,y,z'
loop_
_atom_site_label
_atom_site_fract_x
_atom_site_fract_y
_atom_site_fract_z
Sn1 0.1069 0.2500 0.1446
Sn2 0.3931 0.7500 0.6446
Sn3 0.6069 0.2500 0.3554
Sn4 0.8931 0.7500 0.8554
P1 0.0143 0.7500 0.3600
P2 0.4857 0.2500 0.8600
P3 0.5143 0.7500 0.1400
P4 0.9857 0.2500 0.6400
Cl1 0.1491 0.7500 0.9663
Cl2 0.3509 0.2500 0.4663
Cl3 0.6491 0.7500 0.5337
Cl4 0.8509 0.2500 0.0337
O1 0.0168 0.5188 0.2810
O2 0.0168 0.9812 0.2810
O3 0.4832 0.0188 0.7810
O4 0.4832 0.4812 0.7810
O5 0.5168 0.5188 0.2190
O6 0.5168 0.9812 0.2190
O7 0.9832 0.0188 0.7190
O8 0.9832 0.4812 0.7190
```

=====

4.
Material: Mg5In4Sn2
Method: DFT, PBE
State: relaxed

Properties
- formation enthalpy at 0 K (meV/atom) = -64
- ρ (g/cm3) = 5.02
- space group = Pbam
- uncorrected energy (eV/cell) = -55.27

The structure in CIF format:
```
data_Mg5In4Sn2
_chemical_formula_sum 'Mg10 In8 Sn4'
_cell_length_a 7.0969
_cell_length_b 17.5401
_cell_length_c 4.3457
_cell_angle_alpha 90.00
_cell_angle_beta 90.00
_cell_angle_gamma 90.00
_space_group_name_H-M_alt 'P 1'
_space_group_IT_number 1
loop_
_space_group_symop_operation_xyz
'x,y,z'
loop_
_atom_site_label
_atom_site_fract_x
_atom_site_fract_y
_atom_site_fract_z
Mg1 0.0000 0.0000 0.0000
Mg2 0.1003 0.4130 0.0000
Mg3 0.1995 0.1861 0.0000
Mg4 0.3005 0.6861 0.0000
Mg5 0.3997 0.9130 0.0000
Mg6 0.5000 0.5000 0.0000
Mg7 0.6003 0.0870 0.0000
Mg8 0.6995 0.3139 0.0000
Mg9 0.8005 0.8139 0.0000
Mg10 0.8997 0.5870 0.0000
In1 0.0968 0.8775 0.5000
In2 0.1969 0.5450 0.5000
In3 0.3031 0.0450 0.5000
In4 0.4032 0.3775 0.5000
In5 0.5968 0.6225 0.5000
In6 0.6969 0.9550 0.5000
In7 0.8031 0.4550 0.5000
In8 0.9032 0.1225 0.5000
Sn1 0.0172 0.2921 0.5000
Sn2 0.4828 0.7921 0.5000
Sn3 0.5172 0.2079 0.5000
Sn4 0.9828 0.7079 0.5000
```

=====

5.
Material: Al2SbBr
Method: DFT, PBE
State: relaxed

Properties
- ρ (g/cm3) = 4.30
- space group = Pm
- energy relative to the elements, uncorrected (eV per atom) = 0.02
- uncorrected energy (eV/cell) = -13.19

The structure in CIF format:
```
data_Al2SbBr
_chemical_formula_sum 'Al2 Sb1 Br1'
_cell_length_a 3.3898
_cell_length_b 5.1356
_cell_length_c 5.6686
_cell_angle_alpha 90.00
_cell_angle_beta 90.08
_cell_angle_gamma 90.00
_space_group_name_H-M_alt 'P 1'
_space_group_IT_number 1
loop_
_space_group_symop_operation_xyz
'x,y,z'
loop_
_atom_site_label
_atom_site_fract_x
_atom_site_fract_y
_atom_site_fract_z
Al1 0.0000 0.0000 0.0000
Al2 0.3286 0.5000 0.4995
Sb1 0.8249 0.0000 0.4997
Br1 0.3022 0.5000 0.9993
```

=====

6.
Material: UGaSnPt
Method: DFT, PBE
State: relaxed

Properties
- formation enthalpy at 0 K (meV/atom) = -346
- ρ (g/cm3) = 12.48
- space group = F-43m
- uncorrected energy (eV/cell) = -102.97

The structure in CIF format:
```
data_UGaSnPt
_chemical_formula_sum 'U4 Ga4 Sn4 Pt4'
_cell_length_a 6.9161
_cell_length_b 6.9161
_cell_length_c 6.9161
_cell_angle_alpha 90.00
_cell_angle_beta 90.00
_cell_angle_gamma 90.00
_space_group_name_H-M_alt 'P 1'
_space_group_IT_number 1
loop_
_space_group_symop_operation_xyz
'x,y,z'
loop_
_atom_site_label
_atom_site_fract_x
_atom_site_fract_y
_atom_site_fract_z
U1 0.0000 0.0000 0.0000
U2 0.0000 0.5000 0.5000
U3 0.5000 0.0000 0.5000
U4 0.5000 0.5000 0.0000
Ga1 0.2500 0.2500 0.2500
Ga2 0.2500 0.7500 0.7500
Ga3 0.7500 0.2500 0.7500
Ga4 0.7500 0.7500 0.2500
Sn1 0.0000 0.0000 0.5000
Sn2 0.0000 0.5000 0.0000
Sn3 0.5000 0.0000 0.0000
Sn4 0.5000 0.5000 0.5000
Pt1 0.2500 0.2500 0.7500
Pt2 0.2500 0.7500 0.2500
Pt3 0.7500 0.2500 0.2500
Pt4 0.7500 0.7500 0.7500
```

=====

7.
Material: Y3In2Ga
Method: DFT, PBE
State: relaxed

Properties
- formation enthalpy at 0 K (meV/atom) = -528
- ρ (g/cm3) = 6.15
- space group = P4/mmm
- uncorrected energy (eV/cell) = -31.06

The structure in CIF format:
```
data_Y3In2Ga
_chemical_formula_sum 'Y3 In2 Ga1'
_cell_length_a 3.6488
_cell_length_b 3.6488
_cell_length_c 11.4862
_cell_angle_alpha 90.00
_cell_angle_beta 90.00
_cell_angle_gamma 90.00
_space_group_name_H-M_alt 'P 1'
_space_group_IT_number 1
loop_
_space_group_symop_operation_xyz
'x,y,z'
loop_
_atom_site_label
_atom_site_fract_x
_atom_site_fract_y
_atom_site_fract_z
Y1 0.0000 0.0000 0.0000
Y2 0.0000 0.0000 0.3458
Y3 0.0000 0.0000 0.6542
In1 0.5000 0.5000 0.1723
In2 0.5000 0.5000 0.8277
Ga1 0.5000 0.5000 0.5000
```

=====

8.
Material: Sr2CN2F2
Method: DFT, PBE
State: relaxed

Properties
- ρ (g/cm3) = 3.47
- space group = C2/m
- energy relative to the elements, uncorrected (eV per atom) = -2.18
- uncorrected energy (eV/cell) = -96.50

The structure in CIF format:
```
data_Sr2CN2F2
_chemical_formula_sum 'Sr4 C2 N4 F4'
_cell_length_a 7.0511
_cell_length_b 4.0696
_cell_length_c 8.4371
_cell_angle_alpha 90.00
_cell_angle_beta 90.14
_cell_angle_gamma 90.00
_space_group_name_H-M_alt 'P 1'
_space_group_IT_number 1
loop_
_space_group_symop_operation_xyz
'x,y,z'
loop_
_atom_site_label
_atom_site_fract_x
_atom_site_fract_y
_atom_site_fract_z
Sr1 0.1672 0.0000 0.2047
Sr2 0.3328 0.5000 0.7953
Sr3 0.6672 0.5000 0.2047
Sr4 0.8328 0.0000 0.7953
C1 0.0000 0.5000 0.5000
C2 0.5000 0.0000 0.5000
N1 0.0011 0.5000 0.3531
N2 0.4989 0.0000 0.6469
N3 0.5011 0.0000 0.3531
N4 0.9989 0.5000 0.6469
F1 0.1664 0.0000 0.9030
F2 0.3336 0.5000 0.0970
F3 0.6664 0.5000 0.9030
F4 0.8336 0.0000 0.0970
```

=====

9.
Material: GdThNiAu
Method: DFT, PBE
State: relaxed

Properties
- formation enthalpy at 0 K (meV/atom) = -445
- ρ (g/cm3) = 11.54
- space group = F-43m
- uncorrected energy (eV/cell) = -129.36

The structure in CIF format:
```
data_GdThNiAu
_chemical_formula_sum 'Gd4 Th4 Ni4 Au4'
_cell_length_a 7.1877
_cell_length_b 7.1877
_cell_length_c 7.1877
_cell_angle_alpha 90.00
_cell_angle_beta 90.00
_cell_angle_gamma 90.00
_space_group_name_H-M_alt 'P 1'
_space_group_IT_number 1
loop_
_space_group_symop_operation_xyz
'x,y,z'
loop_
_atom_site_label
_atom_site_fract_x
_atom_site_fract_y
_atom_site_fract_z
Gd1 0.0000 0.0000 0.0000
Gd2 0.0000 0.5000 0.5000
Gd3 0.5000 0.0000 0.5000
Gd4 0.5000 0.5000 0.0000
Th1 0.0000 0.0000 0.5000
Th2 0.0000 0.5000 0.0000
Th3 0.5000 0.0000 0.0000
Th4 0.5000 0.5000 0.5000
Ni1 0.2500 0.2500 0.7500
Ni2 0.2500 0.7500 0.2500
Ni3 0.7500 0.2500 0.2500
Ni4 0.7500 0.7500 0.7500
Au1 0.2500 0.2500 0.2500
Au2 0.2500 0.7500 0.7500
Au3 0.7500 0.2500 0.7500
Au4 0.7500 0.7500 0.2500
```

=====

10.
Material: Ca2SiIr
Method: DFT, PBE
State: relaxed

Properties
- ρ (g/cm3) = 3.88
- space group = I-42d
- energy relative to the elements, uncorrected (eV per atom) = -0.37
- uncorrected energy (eV/cell) = -79.03

The structure in CIF format:
```
data_Ca2SiIr
_chemical_formula_sum 'Ca8 Si4 Ir4'
_cell_length_a 10.6142
_cell_length_b 10.6142
_cell_length_c 4.5704
_cell_angle_alpha 90.00
_cell_angle_beta 90.00
_cell_angle_gamma 90.00
_space_group_name_H-M_alt 'P 1'
_space_group_IT_number 1
loop_
_space_group_symop_operation_xyz
'x,y,z'
loop_
_atom_site_label
_atom_site_fract_x
_atom_site_fract_y
_atom_site_fract_z
Ca1 0.0690 0.2500 0.1250
Ca2 0.2500 0.5690 0.3750
Ca3 0.2500 0.9310 0.8750
Ca4 0.4310 0.2500 0.6250
Ca5 0.5690 0.7500 0.6250
Ca6 0.7500 0.0690 0.8750
Ca7 0.7500 0.4310 0.3750
Ca8 0.9310 0.7500 0.1250
Si1 0.0000 0.0000 0.5000
Si2 0.0000 0.5000 0.7500
Si3 0.5000 0.0000 0.2500
Si4 0.5000 0.5000 0.0000
Ir1 0.0000 0.0000 0.0000
Ir2 0.0000 0.5000 0.2500
Ir3 0.5000 0.0000 0.7500
Ir4 0.5000 0.5000 0.5000
```

=====

11.
Material: CaSiTc
Method: DFT, PBE
State: relaxed

Properties
- ρ (g/cm3) = 4.72
- space group = C2/m
- energy relative to the elements, uncorrected (eV per atom) = -0.32
- uncorrected energy (eV/cell) = -75.05

The structure in CIF format:
```
data_CaSiTc
_chemical_formula_sum 'Ca4 Si4 Tc4'
_cell_length_a 9.7807
_cell_length_b 4.2496
_cell_length_c 7.3805
_cell_angle_alpha 90.00
_cell_angle_beta 130.38
_cell_angle_gamma 90.00
_space_group_name_H-M_alt 'P 1'
_space_group_IT_number 1
loop_
_space_group_symop_operation_xyz
'x,y,z'
loop_
_atom_site_label
_atom_site_fract_x
_atom_site_fract_y
_atom_site_fract_z
Ca1 0.0708 0.0000 0.3404
Ca2 0.4292 0.5000 0.6596
Ca3 0.5708 0.5000 0.3404
Ca4 0.9292 0.0000 0.6596
Si1 0.1866 0.5000 0.7602
Si2 0.3134 0.0000 0.2398
Si3 0.6866 0.0000 0.7602
Si4 0.8134 0.5000 0.2398
Tc1 0.1498 0.5000 0.0614
Tc2 0.3502 0.0000 0.9386
Tc3 0.6498 0.0000 0.0614
Tc4 0.8502 0.5000 0.9386
```

=====

12.
Material: SnRhPb
Method: DFT, PBE
State: relaxed

Properties
- formation enthalpy at 0 K (meV/atom) = -202
- ρ (g/cm3) = 10.15
- space group = F-43m
- uncorrected energy (eV/cell) = -62.67

The structure in CIF format:
```
data_SnRhPb
_chemical_formula_sum 'Sn4 Rh4 Pb4'
_cell_length_a 6.5478
_cell_length_b 6.5478
_cell_length_c 6.5478
_cell_angle_alpha 90.00
_cell_angle_beta 90.00
_cell_angle_gamma 90.00
_space_group_name_H-M_alt 'P 1'
_space_group_IT_number 1
loop_
_space_group_symop_operation_xyz
'x,y,z'
loop_
_atom_site_label
_atom_site_fract_x
_atom_site_fract_y
_atom_site_fract_z
Sn1 0.0000 0.0000 0.0000
Sn2 0.0000 0.5000 0.5000
Sn3 0.5000 0.0000 0.5000
Sn4 0.5000 0.5000 0.0000
Rh1 0.2500 0.2500 0.7500
Rh2 0.2500 0.7500 0.2500
Rh3 0.7500 0.2500 0.2500
Rh4 0.7500 0.7500 0.7500
Pb1 0.0000 0.0000 0.5000
Pb2 0.0000 0.5000 0.0000
Pb3 0.5000 0.0000 0.0000
Pb4 0.5000 0.5000 0.5000
```